Entry 1:
Compound: Al3V12Au
Source: Alexandria via LeMat-Bulk
Functional: PBE
Structure: relaxed

Cell: 4.8206 4.8537 9.5920 Å, 90.00 90.00 90.00°
Last column: nearest neighbours and their distance in Å.
Space group Pmmm (No. 47)
Asymmetric unit:
Al: 0.0000 0.0000 0.0000 (multiplicity 1)  12 V 2.66-2.72
Al: 0.5000 0.5000 0.2488 (multiplicity 2)  12 V 2.68-2.71
V: 0.0000 0.2536 0.2458 (multiplicity 4)  2 V 2.39-2.46, 1 Al 2.66
V: 0.2405 0.5000 0.0000 (multiplicity 2)  2 V 2.32-2.50
V: 0.2513 0.5000 0.5000 (multiplicity 2)  2 V 2.40-2.42
V: 0.5000 0.0000 0.1305 (multiplicity 2)  2 V 2.35-2.50
V: 0.5000 0.0000 0.3755 (multiplicity 2)  2 V 2.35-2.39
Au: 0.0000 0.0000 0.5000 (multiplicity 1)  12 V 2.69-2.73

Crystal system ... orthorhombic
Energy ... -125.99 eV for the cell shown

=====

Entry 2:
Compound: AlV3Au
Source: Alexandria via LeMat-Bulk
Functional: PBE
Structure: relaxed

Cell: 4.7544 4.7544 4.7544 Å, 90.00 90.00 90.00°
Last column: nearest neighbours and their distance in Å.
Space group Pm-3m (No. 221)
Asymmetric unit:
Al: 0.0000 0.0000 0.0000 (multiplicity 1)  12 V 3.36
V: 0.0000 0.5000 0.5000 (multiplicity 3)  2 Au 2.38
Au: 0.5000 0.5000 0.5000 (multiplicity 1)  6 V 2.38

Offset from the most stable computed form ... 1.30 eV/f.u.
Crystal system ... cubic
Energy ... -27.34 eV for the cell shown

=====

Entry 3:
Compound: AlV2Au
Source: Alexandria via LeMat-Bulk
Functional: PBE
Structure: relaxed

Cell: 3.6477 3.7501 8.5754 Å, 90.00 90.00 90.00°
Last column: nearest neighbours and their distance in Å.
Space group Immm (No. 71)
Asymmetric unit:
Al: 0.0000 0.0000 0.0000 (multiplicity 2)  4 Au 2.62, 8 V 2.81-2.85
V: 0.0000 0.5000 0.2502 (multiplicity 4)  4 V 2.62, 4 Al 2.81-2.85, 4 Au 2.82-2.85
Au: 0.0000 0.0000 0.5000 (multiplicity 2)  4 Al 2.62, 8 V 2.82-2.85

Crystal system ... orthorhombic
Energy ... -52.45 eV for the cell shown